Entry 1:
{"formula": "In3PdF", "functional": "meta-GGA SCAN", "state": "PBEsol geometry", "raw_formation_energy_ev_per_atom": -0.672, "spacegroup": "No. 221", "dos_ef_per_ev_cell": 0.34, "magmom_total_mub_per_fu": 0.00, "lattice_angstrom": [[5.062, 0.000, 0.000], [0.000, 5.062, 0.000], [0.000, 0.000, 5.062]], "species": ["In", "In", "In", "Pd", "F"], "frac_coords": [[0.000, 0.000, 0.500], [0.000, 0.500, 0.000], [0.500, 0.000, 0.000], [0.000, 0.000, 0.000], [0.500, 0.500, 0.500]]}


Entry 2:
{"formula": "Tl2InPdF", "functional": "meta-GGA SCAN", "state": "PBEsol geometry", "raw_formation_energy_ev_per_atom": -0.560, "spacegroup": "No. 123", "dos_ef_per_ev_cell": 0.49, "magmom_total_mub_per_fu": 0.00, "lattice_angstrom": [[5.207, 0.000, 0.000], [0.000, 5.207, 0.000], [0.000, 0.000, 5.088]], "species": ["Tl", "Tl", "In", "Pd", "F"], "frac_coords": [[0.000, 0.500, 0.000], [0.500, 0.000, 0.000], [0.000, 0.000, 0.500], [0.000, 0.000, 0.000], [0.500, 0.500, 0.500]]}


Entry 3:
{"formula": "Rb2In3F11", "functional": "meta-GGA SCAN", "state": "PBEsol geometry", "raw_formation_energy_ev_per_atom": -2.823, "spacegroup": "No. 11", "dos_ef_per_ev_cell": 0.00, "magmom_total_mub_per_fu": 0.02, "lattice_angstrom": [[6.633, 0.000, 0.000], [0.000, 8.106, 0.000], [-3.132, 0.000, 9.463]], "species": ["Rb", "Rb", "Rb", "Rb", "In", "In", "In", "In", "In", "In", "F", "F", "F", "F", "F", "F", "F", "F", "F", "F", "F", "F", "F", "F", "F", "F", "F", "F", "F", "F", "F", "F"], "frac_coords": [[0.078, 0.250, 0.205], [0.102, 0.750, 0.182], [0.898, 0.250, 0.818], [0.922, 0.750, 0.795], [0.282, 0.003, 0.565], [0.282, 0.497, 0.565], [0.500, 0.000, 0.000], [0.500, 0.500, 0.000], [0.718, 0.503, 0.435], [0.718, 0.997, 0.435], [0.003, 0.528, 0.378], [0.003, 0.972, 0.378], [0.209, 0.045, 0.020], [0.209, 0.455, 0.020], [0.251, 0.250, 0.503], [0.297, 0.750, 0.610], [0.381, 0.528, 0.378], [0.381, 0.972, 0.378], [0.382, 0.059, 0.785], [0.382, 0.441, 0.785], [0.394, 0.750, 0.955], [0.606, 0.250, 0.045], [0.618, 0.559, 0.215], [0.618, 0.941, 0.215], [0.619, 0.028, 0.622], [0.619, 0.472, 0.622], [0.703, 0.250, 0.390], [0.749, 0.750, 0.497], [0.791, 0.545, 0.980], [0.791, 0.955, 0.980], [0.997, 0.028, 0.622], [0.997, 0.472, 0.622]]}


Entry 4:
{"formula": "RbIn3F10", "functional": "meta-GGA SCAN", "state": "PBEsol geometry", "raw_formation_energy_ev_per_atom": -2.778, "spacegroup": "No. 51", "dos_ef_per_ev_cell": 0.00, "magmom_total_mub_per_fu": 0.09, "lattice_angstrom": [[8.028, 0.000, 0.000], [0.000, 7.828, 0.000], [0.000, 0.000, 6.590]], "species": ["Rb", "Rb", "In", "In", "In", "In", "In", "In", "F", "F", "F", "F", "F", "F", "F", "F", "F", "F", "F", "F", "F", "F", "F", "F", "F", "F", "F", "F"], "frac_coords": [[0.250, 0.000, 0.016], [0.750, 0.000, 0.984], [0.000, 0.228, 0.500], [0.000, 0.500, 0.000], [0.000, 0.772, 0.500], [0.500, 0.228, 0.500], [0.500, 0.500, 0.000], [0.500, 0.772, 0.500], [0.000, 0.500, 0.500], [0.027, 0.000, 0.684], [0.063, 0.300, 0.807], [0.063, 0.700, 0.807], [0.250, 0.216, 0.412], [0.250, 0.500, 0.099], [0.250, 0.784, 0.412], [0.437, 0.300, 0.807], [0.437, 0.700, 0.807], [0.473, 0.000, 0.684], [0.500, 0.500, 0.500], [0.527, 0.000, 0.316], [0.563, 0.300, 0.193], [0.563, 0.700, 0.193], [0.750, 0.216, 0.588], [0.750, 0.500, 0.901], [0.750, 0.784, 0.588], [0.937, 0.300, 0.193], [0.937, 0.700, 0.193], [0.973, 0.000, 0.316]]}


Entry 5:
{"formula": "RbInRhF2", "functional": "meta-GGA SCAN", "state": "PBEsol geometry", "raw_formation_energy_ev_per_atom": -0.408, "spacegroup": "No. 123", "dos_ef_per_ev_cell": 2.35, "magmom_total_mub_per_fu": 1.20, "lattice_angstrom": [[4.298, 0.000, 0.000], [0.000, 4.298, 0.000], [0.000, 0.000, 7.638]], "species": ["Rb", "In", "Rh", "F", "F"], "frac_coords": [[0.000, 0.000, 0.000], [0.000, 0.000, 0.500], [0.500, 0.500, 0.000], [0.000, 0.500, 0.500], [0.500, 0.000, 0.500]]}


Entry 6:
{"formula": "Rb2YInF6", "functional": "meta-GGA SCAN", "state": "PBEsol geometry", "raw_formation_energy_ev_per_atom": -3.211, "spacegroup": "No. 225", "dos_ef_per_ev_cell": 0.00, "magmom_total_mub_per_fu": 0.00, "lattice_angstrom": [[0.000, 4.703, 4.703], [4.703, 0.000, 4.703], [4.703, 4.703, 0.000]], "species": ["Rb", "Rb", "Y", "In", "F", "F", "F", "F", "F", "F"], "frac_coords": [[0.250, 0.250, 0.250], [0.750, 0.750, 0.750], [0.000, 0.000, 0.000], [0.500, 0.500, 0.500], [0.229, 0.229, 0.771], [0.229, 0.771, 0.229], [0.229, 0.771, 0.771], [0.771, 0.229, 0.229], [0.771, 0.229, 0.771], [0.771, 0.771, 0.229]]}